# 1
VASP calculation (PBE-GGA) on an optimized crystal structure of LiPdCl.

Properties
Size of the total moment: 0.00 μB per cell
Symmetry: P1, No. 1
Density of states at the Fermi level: 0.00 states/eV per atom
E_form (uncorrected): -17.41 kcal/mol of atoms
Final energy: -22.44 eV per cell

a = 7.8039 Å, b = 3.5169 Å, c = 4.9003 Å
α = 111.04°, β = 72.66°, γ = 89.83°
Atoms (fractional coordinates):
Li: 0.0806 0.8129 0.6152
Li: 0.5850 0.6719 0.3405
Pd: 0.3346 0.3467 0.6871
Pd: 0.3397 0.0630 0.1187
Cl: 0.0228 0.1577 0.3039
Cl: 0.6581 0.9831 0.9638


# 2
VASP calculation (PBE-GGA) on an optimized crystal structure of LiPdCl.

Properties
Size of the total moment: 0.00 μB per cell
Symmetry: C2/m, No. 12
Density of states at the Fermi level: 0.00 states/eV per atom
E_form (uncorrected): -17.60 kcal/mol of atoms
Final energy: -22.48 eV per cell

a = 7.8941 Å, b = 4.7865 Å, c = 4.7865 Å
α = 136.49°, β = 117.69°, γ = 62.31°
Atoms (fractional coordinates):
Li: 0.7865 0.2486 0.7514
Li: 0.2135 0.7514 0.2486
Pd: 0.3961 0.3667 0.6333
Pd: 0.6039 0.6333 0.3667
Cl: 0.8261 0.9281 0.0719
Cl: 0.1739 0.0719 0.9281


# 3
VASP calculation (PBE-GGA) on an optimized crystal structure of Li3PdCl.

Properties
Size of the total moment: 0.00 μB per cell
Symmetry: Pm-3m, No. 221
Density of states at the Fermi level: 0.00 states/eV per atom
E_form (uncorrected): -13.87 kcal/mol of atoms
Final energy: -15.79 eV per cell

a = 4.5014 Å, b = 4.5014 Å, c = 4.5014 Å
α = 90.00°, β = 90.00°, γ = 90.00°
Atoms (fractional coordinates):
Li: 0.0000 0.5000 0.0000
Li: 0.0000 0.0000 0.5000
Li: 0.5000 0.0000 0.0000
Pd: 0.5000 0.5000 0.5000
Cl: 0.0000 0.0000 0.0000


# 4
VASP calculation (PBE-GGA) on an optimized crystal structure of LiPdCl.

Properties
Size of the total moment: 0.65 μB per cell
Symmetry: Cm, No. 8
Density of states at the Fermi level: 0.51 states/eV per atom
E_form (uncorrected): -17.59 kcal/mol of atoms
Final energy: -22.48 eV per cell

a = 13.8878 Å, b = 3.3809 Å, c = 3.3809 Å
α = 119.73°, β = 124.97°, γ = 55.03°
Atoms (fractional coordinates):
Li: 0.9501 0.5835 0.4165
Li: 0.2484 0.1149 0.8851
Pd: 0.7448 0.2153 0.7847
Pd: 0.5739 0.8314 0.1686
Cl: 0.0823 0.7103 0.2897
Cl: 0.3797 0.5794 0.4206


Question: Which of these has the highest E_form (uncorrected)?
Answer: Li3PdCl


Question: Number 2 is which compound?
Answer: LiPdCl